1.
VASP calculation (PBE) on crystalline Np3NbP4 at its relaxed geometry.

```
16
Lattice="6.6396 0.0000 0.0000 0.0000 7.6560 0.0000 -2.2407 0.0000 6.3099" Properties=species:S:1:pos:R:3 pbc="T T T"
Np -0.5602 0.9344 1.5775
Np -1.6805 2.8333 4.7324
Np -0.5602 4.8227 1.5775
Np -1.6805 6.7215 4.7324
Np 2.7597 2.8495 1.5775
Np 1.6393 4.8065 4.7324
Nb 1.6393 0.9873 4.7324
Nb 2.7597 6.6686 1.5775
P 0.5677 2.8142 3.1987
P 1.6881 4.8418 0.0437
P 1.7596 0.8825 0.0093
P 0.6393 6.7735 3.1642
P 3.7597 0.8825 3.1456
P 2.6393 6.7735 6.3006
P 2.7109 2.8142 6.2661
P 3.8312 4.8418 3.1112
```

Properties
- Fermi-level density of states: 49.96 states/eV per cell
- Energy of formation: -6.71 eV per formula unit

***

2.
VASP calculation (PBE) on crystalline NpNbP2 at its relaxed geometry.

```
4
Lattice="1.8053 1.0423 6.7069 -1.8053 1.0423 6.7069 0.0000 -2.0846 6.7069" Properties=species:S:1:pos:R:3 pbc="T T T"
Np 0.0000 0.0000 0.0000
Nb 0.0000 0.0000 3.5242
P 0.0000 0.0000 8.6726
P 0.0000 0.0000 11.6428
```

Properties
- Energy above the lowest structure with this stoichiometry: 55 meV/atom
- Fermi-level density of states: 5.48 states/eV per cell
- Energy of formation: -3.25 eV per formula unit